(1)
LuZnCdNi, relaxed, DFT GGA-PBE; formation enthalpy at 0 K = -0.546 eV/f.u.; space group = F-43m; total DFT energy (no corrections) = -3.1994 eV/atom
1.0
0.000 3.278 3.278
3.278 0.000 3.278
3.278 3.278 0.000
Lu Zn Cd Ni
1 1 1 1
direct
0.000 0.000 0.000
0.250 0.250 0.250
0.750 0.750 0.750
0.500 0.500 0.500



(2)
Lu2Cd2O5, relaxed, DFT GGA-PBE; E above lowest polymorph = 0.000 eV/atom; space group = P4/mmm; total DFT energy (no corrections) = -6.0276 eV/atom
1.0
4.071 0.000 0.000
0.000 4.071 0.000
0.000 0.000 8.102
Lu Cd O
2 2 5
direct
0.000 0.000 0.242
0.000 0.000 0.758
0.500 0.500 0.000
0.500 0.500 0.500
0.000 0.000 0.500
0.000 0.500 0.175
0.000 0.500 0.825
0.500 0.000 0.175
0.500 0.000 0.825



(3)
Lu2Cd2O5, relaxed, DFT GGA-PBE; E above lowest polymorph = 0.530 eV/atom; space group = P4/mmm; total DFT energy (no corrections) = -5.4979 eV/atom
1.0
4.169 0.000 0.000
0.000 4.169 0.000
0.000 0.000 7.185
Lu Cd O
2 2 5
direct
0.000 0.000 0.000
0.000 0.000 0.500
0.500 0.500 0.203
0.500 0.500 0.797
0.000 0.500 0.192
0.000 0.500 0.808
0.500 0.000 0.192
0.500 0.000 0.808
0.500 0.500 0.500



(4)
Lu2CdO4, relaxed, DFT GGA-PBE; space group = Fd-3m; total DFT energy (no corrections) = -7.1628 eV/atom
1.0
0.000 4.661 4.661
4.661 0.000 4.661
4.661 4.661 0.000
Lu Cd O
4 2 8
direct
0.000 0.000 0.000
0.000 0.000 0.500
0.000 0.500 0.000
0.500 0.000 0.000
0.375 0.375 0.375
0.625 0.625 0.625
0.209 0.764 0.764
0.236 0.236 0.236
0.236 0.236 0.791
0.236 0.791 0.236
0.764 0.209 0.764
0.764 0.764 0.209
0.764 0.764 0.764
0.791 0.236 0.236



(5)
LuCdOs, relaxed, DFT GGA-PBE; formation enthalpy at 0 K = 2.343 eV/f.u.; space group = F-43m; total DFT energy (no corrections) = -4.7672 eV/atom
1.0
0.000 3.270 3.270
3.270 0.000 3.270
3.270 3.270 0.000
Lu Cd Os
1 1 1
direct
0.000 0.000 0.000
0.750 0.750 0.750
0.250 0.250 0.250



(6)
LuCd2Pb, relaxed, DFT GGA-PBE; space group = F-43m; total DFT energy (no corrections) = -2.5980 eV/atom
1.0
0.000 3.682 3.682
3.682 0.000 3.682
3.682 3.682 0.000
Lu Cd Pb
1 2 1
direct
0.000 0.000 0.000
0.250 0.250 0.250
0.500 0.500 0.500
0.750 0.750 0.750



(7)
LuCdPb2, relaxed, DFT GGA-PBE; space group = F-43m; total DFT energy (no corrections) = -3.2619 eV/atom
1.0
0.000 3.838 3.838
3.838 0.000 3.838
3.838 3.838 0.000
Lu Cd Pb
1 1 2
direct
0.000 0.000 0.000
0.750 0.750 0.750
0.250 0.250 0.250
0.500 0.500 0.500



(8)
Lu2CdPb, relaxed, DFT GGA-PBE; space group = F-43m; total DFT energy (no corrections) = -3.3333 eV/atom
1.0
0.000 3.803 3.803
3.803 0.000 3.803
3.803 3.803 0.000
Lu Cd Pb
2 1 1
direct
0.000 0.000 0.000
0.250 0.250 0.250
0.750 0.750 0.750
0.500 0.500 0.500



(9)
LuCdTe3Pb, relaxed, DFT GGA-PBE; E above lowest polymorph = 0.000 eV/atom; space group = C2/m; total DFT energy (no corrections) = -3.7247 eV/atom
1.0
9.554 -2.159 0.000
9.554 2.159 0.000
-2.029 0.000 9.330
Lu Cd Te Pb
2 2 6 2
direct
0.171 0.171 0.092
0.829 0.829 0.908
0.474 0.474 0.785
0.526 0.526 0.215
0.000 0.000 0.000
0.311 0.311 0.675
0.333 0.333 0.136
0.500 0.500 0.500
0.667 0.667 0.864
0.689 0.689 0.325
0.134 0.134 0.566
0.866 0.866 0.434



(10)
LuCdTe3Pb, relaxed, DFT GGA-PBE; E above lowest polymorph = 0.009 eV/atom; space group = Cmcm; total DFT energy (no corrections) = -3.7152 eV/atom
1.0
2.183 -7.424 0.000
2.183 7.424 0.000
0.000 0.000 11.220
Lu Cd Te Pb
2 2 6 2
direct
0.000 0.000 0.000
0.000 0.000 0.500
0.468 0.532 0.750
0.532 0.468 0.250
0.095 0.905 0.750
0.357 0.643 0.539
0.357 0.643 0.961
0.643 0.357 0.039
0.643 0.357 0.461
0.905 0.095 0.250
0.218 0.782 0.250
0.782 0.218 0.750



(11)
LuCdPd, relaxed, DFT GGA-PBE; formation enthalpy at 0 K = -1.725 eV/f.u.; space group = F-43m; total DFT energy (no corrections) = -4.1065 eV/atom
1.0
0.000 3.286 3.286
3.286 0.000 3.286
3.286 3.286 0.000
Lu Cd Pd
1 1 1
direct
0.000 0.000 0.000
0.500 0.500 0.500
0.750 0.750 0.750



(12)
LuCdPd, relaxed, DFT GGA-PBE; formation enthalpy at 0 K = -0.370 eV/f.u.; space group = F-43m; total DFT energy (no corrections) = -3.6548 eV/atom
1.0
0.000 3.340 3.340
3.340 0.000 3.340
3.340 3.340 0.000
Lu Cd Pd
1 1 1
direct
0.000 0.000 0.000
0.750 0.750 0.750
0.250 0.250 0.250